This record from Alexandria via LeMat-Bulk describes a relaxed structure of Nd2MoO5. The functional is PBE+U.

Summary:
**Raw total energy**: -7.919 eV per atom
**Magnetic moment**: 8.00 μB/cell

a b c (Å): 9.8783 6.8055 6.0688
angles (deg): 90.00 90.00 90.00
Fractional coordinates of all 32 atoms:
Nd (0.1718, 0.0017, 0.0386)
Nd (0.1718, 0.4983, 0.0386)
Nd (0.3282, 0.5017, 0.5386)
Nd (0.3282, 0.9983, 0.5386)
Nd (0.6718, 0.0017, 0.4614)
Nd (0.6718, 0.4983, 0.4614)
Nd (0.8282, 0.5017, 0.9614)
Nd (0.8282, 0.9983, 0.9614)
Mo (0.0002, 0.2500, 0.5521)
Mo (0.9998, 0.7500, 0.4479)
Mo (0.5002, 0.2500, 0.9479)
Mo (0.4998, 0.7500, 0.0521)
O (0.0048, 0.2500, 0.9234)
O (0.0833, 0.5312, 0.6589)
O (0.0833, 0.9688, 0.6589)
O (0.1834, 0.2500, 0.3498)
O (0.2049, 0.7500, 0.3284)
O (0.2951, 0.2500, 0.8284)
O (0.3166, 0.7500, 0.8498)
O (0.4167, 0.0312, 0.1589)
O (0.4167, 0.4688, 0.1589)
O (0.4952, 0.7500, 0.4234)
O (0.5048, 0.2500, 0.5766)
O (0.5833, 0.5312, 0.8411)
O (0.5833, 0.9688, 0.8411)
O (0.6834, 0.2500, 0.1502)
O (0.7049, 0.7500, 0.1716)
O (0.7951, 0.2500, 0.6716)
O (0.8166, 0.7500, 0.6502)
O (0.9167, 0.0312, 0.3411)
O (0.9167, 0.4688, 0.3411)
O (0.9952, 0.7500, 0.0766)